1.
NiSbAsSe2: relaxed, PBE.

```
NiSbAsSe2
1.0
4.917 0.000 0.000
0.000 4.917 0.000
0.000 0.000 4.414
Ni Sb As Se
1 1 1 2
direct
0.000 0.000 0.000
0.500 0.500 0.500
0.000 0.000 0.500
0.000 0.500 0.000
0.500 0.000 0.000
```

Calculated values
For the energy above the most stable polymorph in this dataset, the calculation gives 0.0 meV per atom. The calculation puts the total energy at -4.05 eV/atom. The calculation puts the density at 6.43 g/cm³. The total moment comes out at 0.0 μB/cell. The calculation puts the formation energy from raw total energies at 0.254 eV per atom.

---

2.
UPaSi4: relaxed, PBE.

```
UPaSi4
1.0
-1.965 1.965 7.110
1.965 -1.965 7.110
1.965 1.965 -7.110
U Pa Si
1 1 4
direct
0.000 0.000 0.000
0.750 0.250 0.500
0.167 0.667 0.500
0.333 0.833 0.500
0.419 0.419 0.000
0.581 0.581 0.000
```

Calculated values
For the energy above the most stable polymorph in this dataset, the calculation gives 0.0 meV per atom. The calculation puts the total energy at -7.51 eV/atom. The calculation puts the density at 8.79 g/cm³. The total moment comes out at 1.4 μB/cell. The calculation puts the formation energy from raw total energies at -0.431 eV per atom.

---

3.
CeHF3: relaxed, PBE.

```
CeHF3
1.0
6.097 0.000 0.000
0.000 3.538 0.000
-0.254 0.000 6.644
Ce H F
2 2 6
direct
0.244 0.250 0.338
0.756 0.750 0.662
0.002 0.250 0.003
0.998 0.750 0.997
0.018 0.250 0.641
0.366 0.750 0.568
0.378 0.750 0.163
0.622 0.250 0.837
0.634 0.250 0.432
0.982 0.750 0.359
```

Calculated values
The calculation puts the total energy at -5.82 eV/atom. The calculation puts the density at 4.59 g/cm³. The total moment comes out at 1.4 μB/cell.

---

4.
YBeCu2: relaxed, PBE.

```
YBeCu2
1.0
4.203 0.000 0.000
0.000 4.203 0.000
0.000 0.000 3.751
Y Be Cu
1 1 2
direct
0.000 0.000 0.000
0.500 0.500 0.000
0.000 0.500 0.500
0.500 0.000 0.500
```

Calculated values
The calculation puts the total energy at -4.37 eV/atom. The value obtained for the formation enthalpy at 0 K is 224 meV per atom. The calculation puts the density at 5.64 g/cm³. The total moment comes out at 0.0 μB/cell.

---

5.
PrHo2Tm5Sc: relaxed, PBE.

```
PrHo2Tm5Sc
1.0
2.760 -9.785 0.000
2.760 9.785 0.000
0.000 0.000 10.285
Pr Ho Tm Sc
2 4 10 2
direct
0.086 0.914 0.500
0.914 0.086 0.000
0.386 0.614 0.782
0.389 0.611 0.363
0.611 0.389 0.863
0.614 0.386 0.282
0.020 0.980 0.786
0.123 0.877 0.069
0.202 0.798 0.755
0.224 0.776 0.371
0.482 0.518 0.070
0.518 0.482 0.570
0.776 0.224 0.871
0.798 0.202 0.255
0.877 0.123 0.569
0.980 0.020 0.286
0.303 0.697 0.063
0.697 0.303 0.563
```

Calculated values
The calculation puts the total energy at -4.56 eV/atom. The value obtained for the formation enthalpy at 0 K is 179 meV per atom. The calculation puts the density at 8.13 g/cm³. The total moment comes out at 0.0 μB/cell.

---

6.
TbGdBeAg: relaxed, PBE.

```
TbGdBeAg
1.0
0.000 3.573 3.573
3.573 0.000 3.573
3.573 3.573 0.000
Tb Gd Be Ag
1 1 1 1
direct
0.000 0.000 0.000
0.500 0.500 0.500
0.250 0.250 0.250
0.750 0.750 0.750
```

Calculated values
The calculation puts the total energy at -6.37 eV/atom. The value obtained for the formation enthalpy at 0 K is -43 meV per atom. The calculation puts the density at 7.88 g/cm³. The total moment comes out at 7.1 μB/cell.